(1)
Material: AlBrF2
Method: DFT, PBEsol
State: optimized geometry

Lattice parameters (Å, degrees): 3.2103 3.2103 8.0947 78.56 78.56 60.00
With the nearest neighbours (Å) after each atom.
Atoms (fractional coordinates):
Al  0.5000  0.5000  0.5000  6 F 2.02
Br  0.0000  0.0000  0.0000  2 F 3.13, 6 Br 3.21
F  0.8678  0.8678  0.3967  3 Al 2.02
F  0.1322  0.1322  0.6033  3 Al 2.02

## Properties
- N(E_F): 0.3430 states/eV/atom
- Spin magnetization: 0.0 μB/f.u.
- Uncorrected formation energy: -1.681 eV per atom
- Relative energy among the computed polymorphs: 634 meV per atom

(2)
Material: AlPdBr2F
Method: DFT, PBEsol
State: optimized geometry

Lattice parameters (Å, degrees): 4.8805 4.9301 4.9301 90.00 90.00 90.00
With the nearest neighbours (Å) after each atom.
Atoms (fractional coordinates):
F  0.5000  0.5000  0.5000  8 Br 3.47, 4 Al 3.49
Br  0.0000  0.0000  0.5000  2 Pd 2.47
Br  0.0000  0.5000  0.0000  2 Pd 2.47
Pd  0.0000  0.0000  0.0000  2 Al 2.44, 4 Br 2.47
Al  0.5000  0.0000  0.0000  2 Pd 2.44

## Properties
- N(E_F): 1.2515 states/eV/atom
- Spin magnetization: 0.4 μB/f.u.
- Uncorrected formation energy: -0.173 eV per atom